Compound: YRu3C
Source: Alexandria
Functional: PBE
Structure: relaxed

Cell and atoms, written as POSCAR:
```
YRu3C
1.0
2.9576 0.0000 0.0000
0.0000 2.5943 6.7314
0.0000 -2.5943 6.7314
Y Ru C
1 3 1
direct
0.0000 0.0000 0.0000
0.0000 0.4327 0.9616
0.0000 0.9616 0.4327
0.5000 0.8273 0.8273
0.5000 0.6694 0.6694
```

Computed properties:
E: -39.25 eV per cell
DOS(E_F): 4.54 states/eV per cell
Energy of formation: 0.853 eV per atom
M_tot: 0.00 μB per formula unit